K2PaWO8 GGA+U optimized geometry; total magnetization = 1.1 μB/f.u.; energy = -0.2535 hartree per atom; SG = P2/m, No. 10
1.0
4.8432 -0.1619 -0.0025
-0.1321 5.9584 -0.0072
0.0037 0.0087 6.8329
K O Pa W
2 8 1 1
direct
0.5000 0.5000 0.2390
0.5000 0.5000 0.7610
0.0659 0.7915 0.2059
0.0659 0.7915 0.7941
0.5811 0.9063 0.0000
0.9341 0.2085 0.7941
0.3383 0.1883 0.5000
0.4189 0.0937 0.0000
0.6617 0.8117 0.5000
0.9341 0.2085 0.2059
0.0000 0.0000 0.5000
0.0000 0.0000 0.0000